Pm2PrErTl2: relaxed, PBE.

Cell: 5.199 10.206 6.953 Å, 90.00 90.00 90.00°
Element x y z (fractional)
Pm: 0.000 0.047 0.000
Pm: 0.000 0.953 0.500
Pm: 0.500 0.182 0.280
Pm: 0.500 0.818 0.780
Pr: 0.500 0.455 0.905
Pr: 0.500 0.545 0.405
Er: 0.000 0.310 0.623
Er: 0.000 0.690 0.123
Tl: 0.000 0.370 0.170
Tl: 0.000 0.630 0.670
Tl: 0.500 0.140 0.743
Tl: 0.500 0.860 0.243

## Properties
- raw total energy (eV/f.u.) = -25.2
- SG = Pmc2_1
- magnetic moment (μB per formula unit) = 0.0
- formation enthalpy at 0 K (eV/atom) = -0.27

***

Ce2TlSi: relaxed, PBE.

Cell: 6.546 6.546 8.616 Å, 90.78 90.78 34.99°
Element x y z (fractional)
Ce: 0.019 0.019 0.229
Ce: 0.211 0.211 0.813
Ce: 0.789 0.789 0.187
Ce: 0.981 0.981 0.771
Tl: 0.364 0.364 0.490
Tl: 0.636 0.636 0.510
Si: 0.406 0.406 0.008
Si: 0.594 0.594 0.992

## Properties
- E_form (uncorrected) (meV/atom) = -405
- raw total energy (eV/f.u.) = -21.3
- SG = C2/m
- magnetic moment (μB per formula unit) = 1.4

***

Question: Which value of magnetic moment does entry 2 give?
Answer: 1.4 μB per formula unit

***

Question: magnetic moment of number 2 (Ce2TlSi)?
Answer: 1.4 μB per formula unit

***

Question: Which value of raw total energy does entry 1 give?
Answer: -25.2 eV/f.u.